Version A
Density functional theory data (PBE) for an optimized crystal structure of LaNd3Pt2.

The value obtained for the magnetization is 0.00 μB per formula unit. Its density of states at the Fermi level is 13.610 states/eV/cell. The crystal system is orthorhombic. As for the volume: 337 Å³ per cell.

It has space group Pmc2_1 (No. 26), with a = 4.971 Å, b = 9.143 Å, c = 7.411 Å, α = 90.00°, β = 90.00° and γ = 90.00°. Symmetry generates all atoms from La at (0.000, 0.084, 0.000), Nd at (0.000, 0.341, 0.639), Nd at (0.500, 0.165, 0.353), Nd at (0.500, 0.418, 0.990), Pt at (0.000, 0.336, 0.237) and Pt at (0.500, 0.166, 0.751).

Version B
Density functional theory data (PBE) for an optimized crystal structure of LaNd3Pt2.

The value obtained for the magnetization is 0.00 μB per formula unit. Its density of states at the Fermi level is 25.040 states/eV/cell. The crystal system is monoclinic. As for the volume: 680 Å³ per cell.

It has space group C2/m (No. 12), with a = 16.246 Å, b = 5.237 Å, c = 8.739 Å, α = 90.00°, β = 113.78° and γ = 90.00°. Symmetry generates all atoms from La at (0.142, 0.000, 0.231), Nd at (0.062, 0.000, 0.733), Nd at (0.124, 0.500, 0.509), Nd at (0.188, 0.500, 0.008), Pt at (0.004, 0.500, 0.161) and Pt at (0.216, 0.000, 0.622).

Most stable structure: version A

Version A
Density functional theory data (PBE) for an optimized crystal structure of LaNd2Pt.

The value obtained for the magnetization is 0.00 μB per formula unit. Its density of states at the Fermi level is 17.121 states/eV/cell. The crystal system is orthorhombic. As for the volume: 497 Å³ per cell.

It has space group Pnma (No. 62), with a = 7.296 Å, b = 10.123 Å, c = 6.729 Å, α = 90.00°, β = 90.00° and γ = 90.00°. Symmetry generates all atoms from La at (0.027, 0.250, 0.141), Nd at (0.176, 0.063, 0.671) and Pt at (0.120, 0.750, 0.435).

Version B
Density functional theory data (PBE) for an optimized crystal structure of LaNd2Pt.

The value obtained for the magnetization is 0.41 μB per formula unit. Its density of states at the Fermi level is 20.337 states/eV/cell. The crystal system is trigonal. As for the volume: 417 Å³ per cell.

It has space group R-3m (No. 166, hexagonal axes), with a = 3.8389 Å, b = 3.8389 Å, c = 32.6460 Å, α = 90.00°, β = 90.00° and γ = 120.00°. Symmetry generates all atoms from La at (0.0000, 0.0000, 0.0000), Nd at (0.0000, 0.0000, 0.1103) and Pt at (0.0000, 0.0000, 0.5000).

Most stable structure: version A

Version A
Density functional theory data (PBE) for an optimized crystal structure of La3NdPt.

The value obtained for the magnetization is 0.00 μB per formula unit. Its density of states at the Fermi level is 28.786 states/eV/cell. The crystal system is monoclinic. As for the volume: 645 Å³ per cell.

It has space group Cm (No. 8), with a = 12.438 Å, b = 3.932 Å, c = 14.280 Å, α = 90.00°, β = 112.49° and γ = 90.00°. Symmetry generates all atoms from La at (0.000, 0.000, 0.000), La at (0.020, 0.000, 0.376), La at (0.153, 0.500, 0.236), La at (0.176, 0.500, 0.611), La at (0.219, 0.000, 0.851), La at (0.340, 0.000, 0.145), Nd at (0.335, 0.000, 0.471), Nd at (0.455, 0.000, 0.757), Pt at (0.186, 0.500, 0.993) and Pt at (0.490, 0.500, 0.617).

Version B
Density functional theory data (PBE) for an optimized crystal structure of La3NdPt.

The value obtained for the magnetization is 0.01 μB per formula unit. Its density of states at the Fermi level is 14.429 states/eV/cell. The crystal system is orthorhombic. As for the volume: 360 Å³ per cell.

It has space group Pmn2_1 (No. 31), with a = 8.084 Å, b = 6.952 Å, c = 6.398 Å, α = 90.00°, β = 90.00° and γ = 90.00°. Symmetry generates all atoms from La at (0.000, 0.147, 0.000), La at (0.249, 0.691, 0.004), Nd at (0.000, 0.851, 0.515) and Pt at (0.000, 0.501, 0.257).

Most stable structure: version A